# 1
Entry from the Alexandria database: an optimized crystal structure of ZrCr2 (GGA-PBE).

## Properties
As for the total magnetization: 0.557 μB/atom. The crystal system is hexagonal. The value obtained for the density is 6366 kg/m3. The value obtained for the formation energy from the elements is 695 meV per atom. The calculation puts the density of states at the Fermi level at 10.12 states/eV per cell.

Cell lengths 6.236, 6.236, 4.536 Å; angles 90.00, 90.00, 120.00 degrees
Last column: magnetic moment on the atom in μB.
Atoms (fractional coordinates):
Zr (0.000, 0.000, 0.500)  -0.03
Zr (0.333, 0.667, 0.000)  -0.32
Zr (0.667, 0.333, 0.000)  -0.32
Cr (0.000, 0.211, 0.000)  -0.75
Cr (0.000, 0.511, 0.500)  2.57
Cr (0.211, 0.000, 0.000)  -0.75
Cr (0.789, 0.789, 0.000)  -0.75
Cr (0.511, 0.000, 0.500)  2.57
Cr (0.489, 0.489, 0.500)  2.57

# 2
Entry from the Alexandria database: an optimized crystal structure of Zr3Cr (GGA-PBE).

## Properties
As for the total magnetization: 0.574 μB/atom. The crystal system is hexagonal. The value obtained for the density is 6384 kg/m3. The value obtained for the formation energy from the elements is 273 meV per atom. The calculation puts the density of states at the Fermi level at 4.99 states/eV per cell.

Cell lengths 3.189, 3.189, 9.616 Å; angles 90.00, 90.00, 120.00 degrees
Last column: magnetic moment on the atom in μB.
Atoms (fractional coordinates):
Cr (0.000, 0.000, 0.000)  2.54
Zr (0.000, 0.000, 0.500)  0.09
Zr (0.333, 0.667, 0.226)  -0.18
Zr (0.333, 0.667, 0.774)  -0.18